a) {
  "formula": "VAs2WSe",
  "functional": "GGA-PBE",
  "state": "optimized geometry",
  "total_magnetization_mub_per_cell": 4.72,
  "cell": [[4.953, 0.000, 0.000], [0.000, 4.456, 0.000], [0.000, 0.000, 4.953]],
  "species": ["As", "As", "Se", "W", "V"],
  "frac_coords": [[0.000, 0.000, 0.500], [0.500, 0.000, 0.000], [0.000, 0.000, 0.000], [0.500, 0.500, 0.500], [0.000, 0.500, 0.000]]
}


b) {
  "formula": "VAs2WSe",
  "functional": "GGA-PBE",
  "state": "optimized geometry",
  "total_magnetization_mub_per_cell": 3.99,
  "cell": [[-3.792, -2.411, -1.449], [1.993, -0.586, -4.240], [1.992, -4.031, 1.493]],
  "species": ["As", "As", "Se", "W", "V"],
  "frac_coords": [[0.000, 0.500, 0.000], [0.500, 0.000, 0.000], [0.000, 0.000, 0.500], [0.500, 0.500, 0.500], [0.000, 0.000, 0.000]]
}


Taking the most stable structure as the zero point, the relative energies in meV/atom are a) 539; b) 0.


a) {
  "formula": "VZnAs2Se",
  "functional": "GGA-PBE",
  "state": "optimized geometry",
  "total_magnetization_mub_per_cell": 0.01,
  "cell": [[4.712, 0.000, 0.000], [0.000, 4.712, 0.000], [0.000, 0.000, 4.964]],
  "species": ["As", "As", "Zn", "Se", "V"],
  "frac_coords": [[0.000, 0.500, 0.000], [0.500, 0.000, 0.000], [0.000, 0.000, 0.000], [0.000, 0.000, 0.500], [0.500, 0.500, 0.500]]
}


b) {
  "formula": "VZnAs2Se",
  "functional": "GGA-PBE",
  "state": "optimized geometry",
  "total_magnetization_mub_per_cell": 0.00,
  "cell": [[-3.306, -1.621, 3.075], [-2.774, -1.325, -3.682], [2.072, -4.270, -0.024]],
  "species": ["As", "As", "Zn", "Se", "V"],
  "frac_coords": [[0.000, 0.500, 0.000], [0.500, 0.000, 0.000], [0.500, 0.500, 0.500], [0.000, 0.000, 0.500], [0.000, 0.000, 0.000]]
}


Taking the most stable structure as the zero point, the relative energies in meV/atom are a) 793; b) 0.